# 1
Density functional theory data (GGA-PBE) for a relaxed structure of LaTaSi3.

Cell: 4.8474 4.8474 4.8474 Å, 90.00 90.00 90.00°
Positions (direct):
La 0.0000 0.0000 0.0000
Ta 0.5000 0.5000 0.5000
Si 0.0000 0.5000 0.5000
Si 0.5000 0.0000 0.5000
Si 0.5000 0.5000 0.0000

Properties
The raw formation energy is -0.10 eV/atom. For the mass density, the calculation gives 5891 kg/m3. The space-group type is No. 221. Its total energy is -33.6 eV for the cell shown.

***

# 2
Density functional theory data (GGA-PBE) for a relaxed structure of LaTa2Si.

Cell: 5.1877 5.1877 5.1877 Å, 130.59 130.59 72.47°
Positions (direct):
La 0.0000 0.0000 0.0000
Ta 0.2500 0.7500 0.5000
Ta 0.7500 0.2500 0.5000
Si 0.5000 0.5000 0.0000

Properties
The raw formation energy is 0.38 eV/atom. For the mass density, the calculation gives 11161 kg/m3. The space-group type is No. 139. Its total energy is -32.5 eV for the cell shown.

***

# 3
Density functional theory data (GGA-PBE) for a relaxed structure of LaTa2Si.

Cell: 4.4922 4.4922 3.8414 Å, 90.00 90.00 90.00°
Positions (direct):
La 0.0000 0.0000 0.0000
Ta 0.0000 0.5000 0.5000
Ta 0.5000 0.0000 0.5000
Si 0.5000 0.5000 0.0000

Properties
The raw formation energy is 0.33 eV/atom. For the mass density, the calculation gives 11329 kg/m3. The space-group type is No. 123. Its total energy is -32.8 eV for the cell shown.

***

# 4
Density functional theory data (GGA-PBE) for a relaxed structure of LaTa2Si2.

Cell: 5.6815 5.6815 5.6815 Å, 129.52 129.52 74.18°
Positions (direct):
La 0.0000 0.0000 0.0000
Ta 0.3502 0.3502 0.0000
Ta 0.6498 0.6498 0.0000
Si 0.2500 0.7500 0.5000
Si 0.7500 0.2500 0.5000

Properties
The raw formation energy is -0.11 eV/atom. For the mass density, the calculation gives 8691 kg/m3. The space-group type is No. 139. Its total energy is -40.0 eV for the cell shown. As for the energy relative to the lowest polymorph listed for this composition: 0.094 eV/atom.

***

# 5
Density functional theory data (GGA-PBE) for a relaxed structure of LaTa2Si.

Cell: 4.7021 4.7021 6.2598 Å, 100.08 100.08 41.95°
Positions (direct):
La 0.0000 0.0000 0.0000
Ta 0.5433 0.5433 0.5395
Ta 0.7980 0.7980 0.3570
Si 0.2687 0.2687 0.6769

Properties
The raw formation energy is 0.12 eV/atom. For the mass density, the calculation gives 9664 kg/m3. The space-group type is No. 8. Its total energy is -33.6 eV for the cell shown.

***

# 6
Density functional theory data (GGA-PBE) for a relaxed structure of LaTa2Si.

Cell: 10.3079 10.3079 10.3079 Å, 16.95 16.95 16.95°
Positions (direct):
La 0.0000 0.0000 0.0000
Ta 0.2362 0.2362 0.2362
Ta 0.7638 0.7638 0.7638
Si 0.5000 0.5000 0.5000

Properties
The raw formation energy is 0.40 eV/atom. For the mass density, the calculation gives 10811 kg/m3. The space-group type is No. 166. Its total energy is -32.4 eV for the cell shown.

***

# 7
Density functional theory data (GGA-PBE) for a relaxed structure of LaTa2Si.

Cell: 3.4360 3.4360 7.2137 Å, 90.00 90.00 90.00°
Positions (direct):
La 0.0000 0.0000 0.0000
Ta 0.0000 0.0000 0.4808
Ta 0.5000 0.5000 0.6771
Si 0.5000 0.5000 0.3039

Properties
The raw formation energy is -0.04 eV/atom. For the mass density, the calculation gives 10312 kg/m3. The space-group type is No. 99. Its total energy is -34.2 eV for the cell shown.

***

# 8
Density functional theory data (GGA-PBE) for a relaxed structure of LaTa2Si.

Cell: 10.1734 10.1734 10.1734 Å, 17.35 17.35 17.35°
Positions (direct):
La 0.0000 0.0000 0.0000
Ta 0.2373 0.2373 0.2373
Ta 0.4892 0.4892 0.4892
Si 0.7538 0.7538 0.7538

Properties
The raw formation energy is 0.32 eV/atom. For the mass density, the calculation gives 10751 kg/m3. The space-group type is No. 160. Its total energy is -32.8 eV for the cell shown.

***

# 9
Density functional theory data (GGA-PBE) for a relaxed structure of LaTaSi4.

Cell: 5.2570 5.2570 5.2570 Å, 60.00 60.00 60.00°
Positions (direct):
La 0.0000 0.0000 0.0000
Ta 0.2500 0.2500 0.2500
Si 0.1402 0.6199 0.6199
Si 0.6199 0.1402 0.6199
Si 0.6199 0.6199 0.1402
Si 0.6199 0.6199 0.6199

Properties
The raw formation energy is 0.11 eV/atom. For the mass density, the calculation gives 6986 kg/m3. The space-group type is No. 216. Its total energy is -37.8 eV for the cell shown.

***

# 10
Density functional theory data (GGA-PBE) for a relaxed structure of LaTaSi.

Cell: 3.0799 3.0799 7.7459 Å, 90.00 90.00 120.00°
Positions (direct):
La 0.0000 0.0000 0.0000
Ta 0.3333 0.6667 0.6168
Si 0.6667 0.3333 0.3476

Properties
The raw formation energy is 0.27 eV/atom. For the mass density, the calculation gives 9080 kg/m3. The space-group type is No. 156. Its total energy is -21.4 eV for the cell shown.

***

# 11
Density functional theory data (GGA-PBE) for a relaxed structure of LaTa2Si.

Cell: 2.9733 2.9733 9.1591 Å, 90.00 90.00 90.00°
Positions (direct):
La 0.0000 0.0000 0.0000
Ta 0.5000 0.5000 0.3138
Ta 0.5000 0.5000 0.6862
Si 0.0000 0.0000 0.5000

Properties
The raw formation energy is 0.24 eV/atom. For the mass density, the calculation gives 10846 kg/m3. The space-group type is No. 123. Its total energy is -33.1 eV for the cell shown.

***

# 12
Density functional theory data (GGA-PBE) for a relaxed structure of LaTa2Si.

Cell: 5.0833 5.0833 5.0833 Å, 127.05 127.05 78.17°
Positions (direct):
La 0.0000 0.0000 0.0000
Ta 0.5000 0.5000 0.0000
Ta 0.7500 0.2500 0.5000
Si 0.2500 0.7500 0.5000

Properties
The raw formation energy is 0.34 eV/atom. For the mass density, the calculation gives 10835 kg/m3. The space-group type is No. 119. Its total energy is -32.7 eV for the cell shown.